--- i ---
Cs2KHgH, optimized geometry, DFT GGA-PBE; magnetization = 0.00 μB per formula unit
1.0
-6.0443 -0.9101 0.9868
1.3206 -3.2141 5.1246
-0.2192 4.7423 3.0309
K Cs H Hg
1 2 1 1
direct
0.0000 0.0000 0.5000 K
0.5000 0.0000 0.0000 Cs
0.0000 0.5000 0.0000 Cs
0.0000 0.0000 0.0000 H
0.5000 0.5000 0.5000 Hg


--- ii ---
Cs2KHgH, optimized geometry, DFT GGA-PBE; magnetization = 0.00 μB per formula unit
1.0
-2.0247 4.8682 2.8053
-4.3967 0.4839 -4.0130
-4.0412 -3.9571 3.9504
K H Cs Hg
1 1 2 1
direct
0.5000 0.5000 0.5000 K
0.0000 0.0000 0.0000 H
0.5000 0.0000 0.0000 Cs
0.0000 0.5000 0.0000 Cs
0.0000 0.0000 0.5000 Hg


Most stable one: i, least stable one: ii.


--- i ---
Cs2HI, optimized geometry, DFT GGA-PBE; magnetization = 0.00 μB per formula unit
1.0
-2.7919 -7.1193 4.5362
8.3326 -1.5586 2.6823
2.0291 -1.5476 7.5339
H I Cs
2 2 4
direct
0.2500 0.7500 0.5000 H
0.5000 0.5000 0.0000 H
0.0000 0.0000 0.0000 I
0.7500 0.2500 0.5000 I
0.8750 0.7978 0.7500 Cs
0.5478 0.1250 0.2500 Cs
0.3750 0.4522 0.7500 Cs
0.2022 0.6250 0.2500 Cs


--- ii ---
Cs2HI, optimized geometry, DFT GGA-PBE; magnetization = 0.05 μB per formula unit
1.0
-0.7638 -4.1193 -2.7664
-0.3239 -0.2396 5.0043
-7.6167 4.6524 -0.2688
I Cs H
1 2 1
direct
0.0000 0.5000 0.5000 I
0.4706 0.7351 0.2057 Cs
0.5295 0.2649 0.7943 Cs
0.0000 0.0000 0.0000 H


--- iii ---
Cs2HI, optimized geometry, DFT GGA-PBE; magnetization = 0.06 μB per formula unit
1.0
6.2474 0.0000 0.0000
3.1237 5.4104 0.0000
3.1237 1.8035 5.1010
H I Cs
1 1 2
direct
0.5000 0.5000 0.5000 H
0.0000 0.0000 0.0000 I
0.7500 0.7500 0.7500 Cs
0.2500 0.2500 0.2500 Cs


Most stable one: ii, least stable one: iii.


--- i ---
CsHI2, optimized geometry, DFT GGA-PBE; magnetization = 0.00 μB per formula unit
1.0
9.0866 0.0000 -2.5985
0.0000 6.7384 0.0000
-3.1339 0.0000 7.4001
H I Cs
2 4 2
direct
0.7748 0.2500 0.9426 H
0.2252 0.7500 0.0574 H
0.7739 0.2500 0.7166 I
0.7601 0.2500 0.1895 I
0.2399 0.7500 0.8105 I
0.2261 0.7500 0.2834 I
0.7099 0.7500 0.4007 Cs
0.2901 0.2500 0.5993 Cs


--- ii ---
CsHI2, optimized geometry, DFT GGA-PBE; magnetization = 2.00 μB per formula unit
1.0
5.6910 -2.0299 -1.9193
3.7057 -3.2673 3.9730
1.0003 -6.1860 -0.9620
I H Cs
2 1 1
direct
0.2500 0.2500 0.2500 I
0.7500 0.7500 0.7500 I
0.0000 0.0000 0.0000 H
0.5000 0.5000 0.5000 Cs


--- iii ---
CsHI2, optimized geometry, DFT GGA-PBE; magnetization = 0.00 μB per formula unit
1.0
-1.5062 2.0726 -5.8289
1.9559 -10.4679 -4.2319
-4.9097 0.3324 4.8646
H I Cs
2 4 2
direct
0.0423 0.4186 0.0708 H
0.0428 0.9189 0.0712 H
0.1454 0.8097 0.8444 I
0.3717 0.5279 0.2975 I
0.9402 0.0281 0.2977 I
0.7132 0.3094 0.8442 I
0.5422 0.9185 0.5706 Cs
0.0420 0.4188 0.5706 Cs


--- iv ---
CsHI2, optimized geometry, DFT GGA-PBE; magnetization = 0.00 μB per formula unit
1.0
-3.9825 1.2991 1.4064
-3.1115 -3.0040 0.9060
0.7962 -1.0175 10.1366
H I Cs
1 2 1
direct
0.5000 0.5000 0.5000 H
0.8830 0.8830 0.3511 I
0.1170 0.1170 0.6489 I
0.0000 0.0000 0.0000 Cs


Most stable one: i, least stable one: iv.


--- i ---
Cs3HI2, optimized geometry, DFT GGA-PBE; magnetization = 0.05 μB per formula unit
1.0
4.9533 0.0000 -1.4034
-0.7962 7.0228 -2.8103
-0.0706 -0.4477 9.1939
Cs I H
3 2 1
direct
0.0000 0.0000 0.0000 Cs
0.3595 0.3595 0.7191 Cs
0.6405 0.6405 0.2809 Cs
0.3258 0.8258 0.6517 I
0.6742 0.1742 0.3483 I
0.0000 0.5000 0.0000 H


--- ii ---
Cs3HI2, optimized geometry, DFT GGA-PBE; magnetization = 0.05 μB per formula unit
1.0
-1.0348 -7.0066 -3.2142
-0.5816 -4.2822 9.5218
-8.8362 3.3564 -4.4718
I Cs H
4 6 2
direct
0.5006 0.5098 0.8316 I
0.0006 0.4902 0.1684 I
0.0006 0.1684 0.4902 I
0.5006 0.8316 0.5098 I
0.4230 0.8866 0.8866 Cs
0.9971 0.5420 0.8294 Cs
0.9230 0.1134 0.1134 Cs
0.4971 0.1706 0.4580 Cs
0.9971 0.8294 0.5420 Cs
0.4971 0.4580 0.1706 Cs
0.5397 0.1546 0.1546 H
0.0397 0.8454 0.8454 H


Most stable one: i, least stable one: ii.


--- i ---
Cs5HI4, optimized geometry, DFT GGA-PBE; magnetization = 0.06 μB per formula unit
1.0
-6.3981 2.1320 3.8902
-7.1690 -5.9260 -0.7523
-0.4440 -3.1344 8.7782
I Cs H
4 5 1
direct
0.8037 0.7923 0.6068 I
0.5960 0.6068 0.2077 I
0.4106 0.3932 0.7923 I
0.2029 0.2077 0.3932 I
0.2758 0.8166 0.6351 Cs
0.4450 0.0000 0.0000 Cs
0.0924 0.6351 0.1834 Cs
0.9110 0.3649 0.8166 Cs
0.7275 0.1834 0.3649 Cs
0.0455 0.0000 0.0000 H


--- ii ---
Cs5HI4, optimized geometry, DFT GGA-PBE; magnetization = 0.05 μB per formula unit
1.0
-5.1025 1.3800 1.3943
-0.1333 -4.1204 3.5901
9.4148 12.8891 10.9805
Cs H I
5 1 4
direct
0.7000 0.7000 0.3999 Cs
0.5000 0.5000 0.0000 Cs
0.3000 0.3000 0.6001 Cs
0.9103 0.9103 0.8206 Cs
0.0897 0.0897 0.1794 Cs
0.0000 0.0000 0.0000 H
0.1962 0.1962 0.3924 I
0.5978 0.5978 0.1956 I
0.4022 0.4022 0.8044 I
0.8038 0.8038 0.6076 I


Most stable one: i, least stable one: ii.


--- i ---
CsHIN2, optimized geometry, DFT GGA-PBE; magnetization = 7.10 μB per formula unit
1.0
-0.5052 3.9734 -5.1863
-0.4874 -5.2102 -3.9442
-7.2202 0.0905 0.7727
Cs N I H
1 2 1 1
direct
0.0000 0.0000 0.0000 Cs
0.0000 0.5000 0.0000 N
0.5000 0.0000 0.0000 N
0.0000 0.0000 0.5000 I
0.5000 0.5000 0.5000 H


--- ii ---
CsHIN2, optimized geometry, DFT GGA-PBE; magnetization = 5.29 μB per formula unit
1.0
-4.4962 -2.2425 -2.1865
2.8245 -1.2501 -4.5260
0.9750 -3.4873 1.5716
N I H Cs
2 1 1 1
direct
0.0000 0.5000 0.0000 N
0.5000 0.0000 0.0000 N
0.0000 0.0000 0.5000 I
0.0000 0.0000 0.0000 H
0.5000 0.5000 0.5000 Cs


Most stable one: ii, least stable one: i.


--- i ---
CsSbHI2, optimized geometry, DFT GGA-PBE; magnetization = 4.25 μB per formula unit
1.0
7.1100 0.0000 0.0000
0.0000 7.1100 0.0000
0.0000 0.0000 6.8599
I Sb H Cs
2 1 1 1
direct
0.0000 0.5000 0.0000 I
0.5000 0.0000 0.0000 I
0.0000 0.0000 0.5000 Sb
0.5000 0.5000 0.5000 H
0.0000 0.0000 0.0000 Cs


--- ii ---
CsSbHI2, optimized geometry, DFT GGA-PBE; magnetization = 0.21 μB per formula unit
1.0
6.3154 0.0000 0.0000
0.0000 6.3154 0.0000
0.0000 0.0000 4.0810
I H Sb Cs
2 1 1 1
direct
0.0000 0.5000 0.0000 I
0.5000 0.0000 0.0000 I
0.0000 0.0000 0.0000 H
0.0000 0.0000 0.5000 Sb
0.5000 0.5000 0.5000 Cs


Most stable one: ii, least stable one: i.


--- i ---
CsTeHI2, optimized geometry, DFT GGA-PBE; magnetization = 4.08 μB per formula unit
1.0
-6.7706 2.9064 -1.2002
-1.8719 -1.4360 7.0826
2.6840 7.1435 2.1577
I Cs H Te
2 1 1 1
direct
0.5000 0.0000 0.0000 I
0.0000 0.5000 0.0000 I
0.0000 0.0000 0.0000 Cs
0.5000 0.5000 0.5000 H
0.0000 0.0000 0.5000 Te


--- ii ---
CsTeHI2, optimized geometry, DFT GGA-PBE; magnetization = 0.19 μB per formula unit
1.0
-3.5006 3.3283 4.2050
-2.7729 -5.4216 1.9828
2.9059 -0.4665 2.7883
H Te I Cs
1 1 2 1
direct
0.0000 0.0000 0.0000 H
0.0000 0.0000 0.5000 Te
0.0000 0.5000 0.0000 I
0.5000 0.0000 0.0000 I
0.5000 0.5000 0.5000 Cs


Most stable one: ii, least stable one: i.